Here is MgZnAs2 after structural relaxation from Alexandria via LeMat-Bulk. Energies are from PBE.

Values from the calculation:
Energy above the lowest structure with this stoichiometry = 0.277 eV per formula unit
Density of states at the Fermi level = 1.6 states/eV/f.u.
Energy = -3.073 eV per atom
ΔE_f = -0.03 eV per atom
Size of the total moment = 0.00 Bohr magnetons per cell

abc: 3.8720 3.9636 4.9037
angles: 90.00 90.00 90.00
Element x y z (fractional)
Mg1 0.0000 0.0000 0.0000
Zn1 0.0000 0.5000 0.5000
As1 0.5000 0.0000 0.5000
As2 0.5000 0.5000 0.0000

Here is AcDy4Hg after structural relaxation from Alexandria via LeMat-Bulk. Energies are from PBE.

Values from the calculation:
Density of states at the Fermi level = 8.1 states/eV/f.u.
Energy = -3.924 eV per atom
ΔE_f = -0.12 eV per atom
Size of the total moment = 0.00 Bohr magnetons per cell

abc: 3.6833 3.6833 13.9952
angles: 90.00 90.00 90.00
Element x y z (fractional)
Ac1 0.0000 0.0000 0.0000
Dy1 0.0000 0.0000 0.3624
Dy2 0.0000 0.0000 0.6376
Dy3 0.5000 0.5000 0.1897
Dy4 0.5000 0.5000 0.8103
Hg1 0.5000 0.5000 0.5000

Here is SrGa3Au after structural relaxation from Alexandria via LeMat-Bulk. Energies are from PBE.

Values from the calculation:
Density of states at the Fermi level = 8.0 states/eV/f.u.
Energy = -1.744 eV per atom
ΔE_f = 1.06 eV per atom
Size of the total moment = 0.00 Bohr magnetons per cell

abc: 5.8445 5.8445 5.8445
angles: 90.00 90.00 90.00
Element x y z (fractional)
Sr1 0.0000 0.0000 0.0000
Ga1 0.0000 0.0000 0.5000
Ga2 0.0000 0.5000 0.0000
Ga3 0.5000 0.0000 0.0000
Au1 0.5000 0.5000 0.5000

Here is ZrTi2As after structural relaxation from Alexandria via LeMat-Bulk. Energies are from PBE.

Values from the calculation:
Density of states at the Fermi level = 3.2 states/eV/f.u.
Energy = -7.966 eV per atom
ΔE_f = -0.72 eV per atom
Size of the total moment = 0.00 Bohr magnetons per cell

abc: 5.3408 5.3408 7.9563
angles: 90.00 90.00 140.75
Element x y z (fractional)
Zr1 0.0546 0.9454 0.7500
Zr2 0.9454 0.0546 0.2500
Ti1 0.3621 0.6379 0.5411
Ti2 0.3621 0.6379 0.9589
Ti3 0.6379 0.3621 0.0411
Ti4 0.6379 0.3621 0.4589
As1 0.2295 0.7705 0.2500
As2 0.7705 0.2295 0.7500

Here is BaZn3Pt after structural relaxation from Alexandria via LeMat-Bulk. Energies are from PBE.

Values from the calculation:
Energy above the lowest structure with this stoichiometry = 0.790 eV per formula unit
Density of states at the Fermi level = 2.0 states/eV/f.u.
Energy = -2.658 eV per atom
ΔE_f = -0.30 eV per atom
Size of the total moment = 0.00 Bohr magnetons per cell

abc: 7.7096 7.7096 6.9497
angles: 102.20 102.20 36.91
Element x y z (fractional)
Ba1 0.1716 0.1716 0.2960
Ba2 0.8284 0.8284 0.7040
Zn1 0.1710 0.1710 0.8203
Zn2 0.4110 0.4110 0.4180
Zn3 0.4727 0.4727 0.8130
Zn4 0.5273 0.5273 0.1870
Zn5 0.5890 0.5890 0.5820
Zn6 0.8290 0.8290 0.1797
Pt1 0.3503 0.3503 0.0408
Pt2 0.6497 0.6497 0.9592

Here is Sc5In2PdRh2 after structural relaxation from Alexandria via LeMat-Bulk. Energies are from PBE.

Values from the calculation:
Density of states at the Fermi level = 6.3 states/eV/f.u.
Energy = -6.394 eV per atom
ΔE_f = -0.69 eV per atom
Size of the total moment = 0.00 Bohr magnetons per cell

abc: 11.0355 11.0355 3.3698
angles: 90.00 90.00 90.00
Element x y z (fractional)
Sc1 0.0000 0.5000 0.0000
Sc2 0.0722 0.1968 0.0000
Sc3 0.1968 0.9278 0.0000
Sc4 0.3032 0.4278 0.0000
Sc5 0.4278 0.6968 0.0000
Sc6 0.5000 0.0000 0.0000
Sc7 0.5722 0.3032 0.0000
Sc8 0.6968 0.5722 0.0000
Sc9 0.8032 0.0722 0.0000
Sc10 0.9278 0.8032 0.0000
In1 0.1717 0.6717 0.5000
In2 0.3283 0.1717 0.5000
In3 0.6717 0.8283 0.5000
In4 0.8283 0.3283 0.5000
Pd1 0.0000 0.0000 0.5000
Pd2 0.5000 0.5000 0.5000
Rh1 0.1342 0.3658 0.5000
Rh2 0.3658 0.8658 0.5000
Rh3 0.6342 0.1342 0.5000
Rh4 0.8658 0.6342 0.5000